# 1
VASP calculation (GGA-PBE) on a relaxed CrAg2Te4 crystal.

The total energy comes out at -4.038 eV/atom. For the raw formation energy, the calculation gives -5 kJ/mol of atoms. As for the space group: Imma, No. 74. The density of states at the Fermi level is 10.2 states/eV per cell. As for the volume: 397.2 Å³/cell.

Geometry as POSCAR:
```
CrAg2Te4
1.0
-4.0108 4.2235 5.8622
4.0108 -4.2235 5.8622
4.0108 4.2235 -5.8622
Cr Ag Te
2 4 8
Cartesian
-2.0054 2.1117 2.9311 Cr
2.0054 2.1117 2.9311 Cr
0.0000 0.0000 0.0000 Ag
4.0108 2.1117 -1.5139 Ag
0.0000 4.2235 0.0000 Ag
0.0000 2.1117 7.3761 Ag
1.8747 2.1117 0.2563 Te
2.1361 -2.1117 6.1185 Te
4.0108 0.2902 2.9090 Te
0.0000 0.2902 2.9532 Te
4.0108 3.9332 2.9090 Te
0.0000 3.9332 2.9532 Te
1.8747 6.3352 -0.2563 Te
2.1361 2.1117 5.6059 Te
```

# 2
VASP calculation (GGA-PBE) on a relaxed PrBP2 crystal.

The total energy comes out at -5.991 eV/atom. As for the space group: C2, No. 5. Its formation energy is -422 meV/atom. The density of states at the Fermi level is 1.6 states/eV per cell. As for the volume: 68.6 Å³/cell.

Geometry as POSCAR:
```
PrBP2
1.0
2.4605 -2.4604 0.0000
2.4605 2.4604 0.0000
-2.4501 0.0000 5.6665
Pr B P
1 1 2
Cartesian
0.0000 0.0000 0.0000 Pr
1.2354 1.2366 2.8332 B
0.0074 0.0033 3.9390 P
2.4634 0.0033 1.7275 P
```

Copy entry 2 word for word.
VASP calculation (GGA-PBE) on a relaxed PrBP2 crystal.

The total energy comes out at -5.991 eV/atom. As for the space group: C2, No. 5. Its formation energy is -422 meV/atom. The density of states at the Fermi level is 1.6 states/eV per cell. As for the volume: 68.6 Å³/cell.

Geometry as POSCAR:
```
PrBP2
1.0
2.4605 -2.4604 0.0000
2.4605 2.4604 0.0000
-2.4501 0.0000 5.6665
Pr B P
1 1 2
Cartesian
0.0000 0.0000 0.0000 Pr
1.2354 1.2366 2.8332 B
0.0074 0.0033 3.9390 P
2.4634 0.0033 1.7275 P
```

Look up the volume of the first one.
397.2 Å³/cell

volume of number 1 (CrAg2Te4)?
397.2 Å³/cell